Record 1
{"formula": "Nd6ZnSe3S2", "functional": "GGA-PBE", "state": "optimized geometry", "cell": [[3.6149, -6.2491, 0.0000], [3.6149, 6.2491, 0.0000], [-2.3998, 0.0000, 6.9050]], "species": ["Nd", "Nd", "Nd", "Nd", "Nd", "Nd", "Zn", "Se", "Se", "Se", "S", "S"], "frac_coords": [[0.0809, 0.4206, 0.7599], [0.2400, 0.2400, 0.2372], [0.4206, 0.0809, 0.7599], [0.5794, 0.9191, 0.2401], [0.7600, 0.7600, 0.7628], [0.9191, 0.5794, 0.2401], [0.5000, 0.5000, 0.0000], [0.0000, 0.0000, 0.5000], [0.3350, 0.6650, 0.5000], [0.6650, 0.3350, 0.5000], [0.1665, 0.8335, 0.0000], [0.8335, 0.1665, 0.0000]], "n_ef_per_ev_fu": 5.47, "crystal_system": "monoclinic", "e_form_raw_ev_per_atom": -1.6491, "m_tot_mub_per_cell": 0.00}


Record 2
{"formula": "Nd5SiS4", "functional": "GGA-PBE", "state": "optimized geometry", "cell": [[-4.6122, 4.6122, 2.9039], [4.6122, -4.6122, 2.9039], [4.6122, 4.6122, -2.9039]], "species": ["Nd", "Nd", "Nd", "Nd", "Nd", "Si", "S", "S", "S", "S"], "frac_coords": [[0.0000, 0.0000, 0.0000], [0.2013, 0.4014, 0.6027], [0.4014, 0.7987, 0.2001], [0.5986, 0.2013, 0.7999], [0.7987, 0.5986, 0.3973], [0.5000, 0.5000, 0.0000], [0.1013, 0.6991, 0.8004], [0.3009, 0.1013, 0.4021], [0.6991, 0.8987, 0.5979], [0.8987, 0.3009, 0.1996]], "n_ef_per_ev_fu": 4.50, "crystal_system": "tetragonal", "e_form_raw_ev_per_atom": -1.7988, "m_tot_mub_per_cell": 0.00}